# 1
A plane-wave DFT calculation with PBE-GGA was carried out for B7C5 after structural relaxation.

Unit cell a=6.966 b=6.966 c=4.821 alpha=105.73 beta=105.73 gamma=22.29
Atoms (fractional coordinates):
B (0.000, 0.000, 0.000)
B (0.063, 0.063, 0.665)
B (0.501, 0.501, 0.399)
B (0.667, 0.667, 0.307)
B (0.738, 0.738, 0.866)
B (0.865, 0.865, 0.113)
B (0.872, 0.872, 0.763)
C (0.183, 0.183, 0.756)
C (0.221, 0.221, 0.453)
C (0.337, 0.337, 0.552)
C (0.381, 0.381, 0.302)
C (0.555, 0.555, 0.129)

Output
The value obtained for the magnetization is 0.0 μB per formula unit. The density of states at the Fermi level is 1.01 states/eV/f.u. Its energy relative to the elements is 363.4 meV/atom. Its symmetry is Cm (8). Its energy above the most stable polymorph in this dataset is 0.199 eV/atom. The crystal system is monoclinic.


# 2
A plane-wave DFT calculation with PBE-GGA was carried out for B7C5 after structural relaxation.

Unit cell a=4.634 b=2.653 c=7.081 alpha=90.00 beta=91.59 gamma=90.00
Atoms (fractional coordinates):
B (0.000, 0.000, 0.000)
B (0.024, 0.000, 0.242)
B (0.158, 0.500, 0.866)
B (0.325, 0.000, 0.625)
B (0.393, 0.000, 0.244)
B (0.599, 0.500, 0.992)
B (0.826, 0.500, 0.364)
C (0.155, 0.500, 0.648)
C (0.542, 0.500, 0.220)
C (0.665, 0.000, 0.884)
C (0.671, 0.000, 0.666)
C (0.820, 0.500, 0.590)

Output
The value obtained for the magnetization is 0.0 μB per formula unit. The density of states at the Fermi level is 0.38 states/eV/f.u. Its energy relative to the elements is 425.7 meV/atom. Its symmetry is Pm (6). Its energy above the most stable polymorph in this dataset is 0.261 eV/atom. The crystal system is monoclinic.


# 3
A plane-wave DFT calculation with PBE-GGA was carried out for BC after structural relaxation.

Unit cell a=7.706 b=7.706 c=3.729 alpha=102.95 beta=102.95 gamma=19.31
Atoms (fractional coordinates):
B (0.000, 0.000, 0.000)
B (0.263, 0.263, 0.522)
B (0.501, 0.501, 0.598)
B (0.690, 0.690, 0.876)
B (0.879, 0.879, 0.031)
C (0.099, 0.099, 0.299)
C (0.186, 0.186, 0.162)
C (0.436, 0.436, 0.190)
C (0.602, 0.602, 0.544)
C (0.791, 0.791, 0.736)

Output
The value obtained for the magnetization is 0.0 μB per formula unit. The density of states at the Fermi level is 0.41 states/eV/f.u. Its energy relative to the elements is 394.5 meV/atom. Its symmetry is Cm (8). Its energy above the most stable polymorph in this dataset is 0.244 eV/atom. The crystal system is monoclinic.


# 4
A plane-wave DFT calculation with PBE-GGA was carried out for B7C5 after structural relaxation.

Unit cell a=6.478 b=6.478 c=5.673 alpha=107.03 beta=107.03 gamma=24.12
Atoms (fractional coordinates):
B (0.000, 0.000, 0.000)
B (0.239, 0.239, 0.930)
B (0.309, 0.309, 0.705)
B (0.525, 0.525, 0.621)
B (0.633, 0.633, 0.898)
B (0.667, 0.667, 0.327)
B (0.863, 0.863, 0.310)
C (0.229, 0.229, 0.423)
C (0.304, 0.304, 0.216)
C (0.560, 0.560, 0.094)
C (0.896, 0.896, 0.756)
C (0.964, 0.964, 0.555)

Output
The value obtained for the magnetization is 0.0 μB per formula unit. The density of states at the Fermi level is 1.95 states/eV/f.u. Its energy relative to the elements is 449.8 meV/atom. Its symmetry is Cm (8). Its energy above the most stable polymorph in this dataset is 0.285 eV/atom. The crystal system is monoclinic.


# 5
A plane-wave DFT calculation with PBE-GGA was carried out for BC after structural relaxation.

Unit cell a=3.846 b=3.871 c=5.833 alpha=70.81 beta=89.21 gamma=88.07
Atoms (fractional coordinates):
B (0.000, 0.000, 0.000)
B (0.015, 0.615, 0.682)
B (0.040, 0.391, 0.291)
B (0.463, 0.168, 0.680)
B (0.490, 0.482, 0.013)
B (0.533, 0.716, 0.627)
C (0.244, 0.817, 0.817)
C (0.248, 0.141, 0.176)
C (0.252, 0.498, 0.491)
C (0.479, 0.816, 0.317)
C (0.729, 0.333, 0.819)
C (0.738, 0.667, 0.169)

Output
The value obtained for the magnetization is 0.0 μB per formula unit. The density of states at the Fermi level is 0.06 states/eV/f.u. Its energy relative to the elements is 328.9 meV/atom. Its symmetry is P1 (1). Its energy above the most stable polymorph in this dataset is 0.178 eV/atom. The crystal system is triclinic.


# 6
A plane-wave DFT calculation with PBE-GGA was carried out for B3C5 after structural relaxation.

Unit cell a=3.834 b=2.624 c=5.327 alpha=90.00 beta=90.71 gamma=90.00
Atoms (fractional coordinates):
B (0.000, 0.000, 0.000)
B (0.197, 0.500, 0.556)
B (0.630, 0.000, 0.357)
C (0.219, 0.500, 0.048)
C (0.434, 0.500, 0.291)
C (0.456, 0.500, 0.809)
C (0.685, 0.000, 0.804)
C (0.924, 0.000, 0.566)

Output
The value obtained for the magnetization is 0.0 μB per formula unit. The density of states at the Fermi level is 0.75 states/eV/f.u. Its energy relative to the elements is 322.6 meV/atom. Its symmetry is Pm (6). Its energy above the most stable polymorph in this dataset is 0.048 eV/atom. The crystal system is monoclinic.


# 7
A plane-wave DFT calculation with PBE-GGA was carried out for B3C after structural relaxation.

Unit cell a=4.524 b=4.524 c=8.462 alpha=116.71 beta=116.71 gamma=32.92
Atoms (fractional coordinates):
B (0.000, 0.000, 0.000)
B (0.007, 0.007, 0.220)
B (0.135, 0.135, 0.874)
B (0.305, 0.305, 0.643)
B (0.345, 0.345, 0.877)
B (0.416, 0.416, 0.488)
B (0.532, 0.532, 0.715)
B (0.648, 0.648, 0.375)
B (0.657, 0.657, 0.595)
C (0.213, 0.213, 0.088)
C (0.806, 0.806, 0.184)
C (0.831, 0.831, 0.376)

Output
The value obtained for the magnetization is 0.0 μB per formula unit. The density of states at the Fermi level is 0.69 states/eV/f.u. Its energy relative to the elements is 486.6 meV/atom. Its symmetry is Cm (8). Its energy above the most stable polymorph in this dataset is 0.246 eV/atom. The crystal system is monoclinic.


# 8
A plane-wave DFT calculation with PBE-GGA was carried out for B3C2 after structural relaxation.

Unit cell a=9.913 b=9.913 c=9.913 alpha=164.28 beta=164.28 gamma=22.30
Atoms (fractional coordinates):
B (0.000, 0.000, 0.000)
B (0.185, 0.185, 0.000)
B (0.250, 0.750, 0.500)
B (0.407, 0.407, 0.000)
B (0.593, 0.593, 0.000)
B (0.815, 0.815, 0.000)
C (0.050, 0.550, 0.500)
C (0.450, 0.950, 0.500)
C (0.647, 0.147, 0.500)
C (0.853, 0.353, 0.500)

Output
The value obtained for the magnetization is 0.0 μB per formula unit. The density of states at the Fermi level is 0.93 states/eV/f.u. Its energy relative to the elements is 493.0 meV/atom. Its symmetry is I-4m2 (119). Its energy above the most stable polymorph in this dataset is 0.282 eV/atom. The crystal system is tetragonal.


# 9
A plane-wave DFT calculation with PBE-GGA was carried out for B3C after structural relaxation.

Unit cell a=4.289 b=4.289 c=5.108 alpha=103.05 beta=103.05 gamma=36.26
Atoms (fractional coordinates):
B (0.103, 0.103, 0.479)
B (0.121, 0.121, 0.825)
B (0.313, 0.313, 0.690)
B (0.687, 0.687, 0.310)
B (0.879, 0.879, 0.175)
B (0.897, 0.897, 0.521)
C (0.407, 0.407, 0.016)
C (0.593, 0.593, 0.984)

Output
The value obtained for the magnetization is 0.0 μB per formula unit. The density of states at the Fermi level is 0.61 states/eV/f.u. Its energy relative to the elements is 361.7 meV/atom. Its symmetry is C2/m (12). Its energy above the most stable polymorph in this dataset is 0.121 eV/atom. The crystal system is monoclinic.


# 10
A plane-wave DFT calculation with PBE-GGA was carried out for BC after structural relaxation.

Unit cell a=6.911 b=6.911 c=5.036 alpha=104.79 beta=104.79 gamma=20.89
Atoms (fractional coordinates):
B (0.040, 0.040, 0.298)
B (0.194, 0.194, 0.205)
B (0.361, 0.361, 0.064)
B (0.639, 0.639, 0.936)
B (0.806, 0.806, 0.795)
B (0.960, 0.960, 0.702)
C (0.148, 0.148, 0.498)
C (0.316, 0.316, 0.341)
C (0.483, 0.483, 0.134)
C (0.517, 0.517, 0.866)
C (0.684, 0.684, 0.659)
C (0.852, 0.852, 0.502)

Output
The value obtained for the magnetization is 0.0 μB per formula unit. The density of states at the Fermi level is 0.29 states/eV/f.u. Its energy relative to the elements is 342.2 meV/atom. Its symmetry is C2/m (12). Its energy above the most stable polymorph in this dataset is 0.191 eV/atom. The crystal system is monoclinic.